A plane-wave DFT calculation with PBE-GGA was carried out for Nd2DyMg9 after structural relaxation. Values from VASP.

Quantum ESPRESSO input file:
```
&SYSTEM
  ibrav = 0, nat = 12, ntyp = 3
/
ATOMIC_SPECIES
Nd 144.24 Nd.upf
Dy 162.50 Dy.upf
Mg 24.30 Mg.upf
ATOMIC_POSITIONS angstrom
Nd 0.000 0.000 4.175
Nd 0.000 0.000 25.327
Dy 0.000 0.000 0.000
Mg -1.533 -0.885 12.277
Mg 0.000 0.000 9.851
Mg 0.000 -1.770 17.226
Mg -1.533 0.885 17.226
Mg 0.000 0.000 14.751
Mg 1.533 -0.885 12.277
Mg 0.000 1.770 12.277
Mg 0.000 0.000 19.652
Mg 1.533 0.885 17.226
CELL_PARAMETERS angstrom
3.037 1.753 9.834
-3.037 1.753 9.834
0.000 -3.507 9.834
```

Results
Calculated total energy, eV/atom: -2.419
Formation energy from the elements, eV/atom: -0.04
Total moment, μB per cell: 0.00
Density of states at the Fermi level, states/eV per atom: 0.957

=====

A plane-wave DFT calculation with PBE-GGA was carried out for NdDyMg4 after structural relaxation. Values from VASP.

Quantum ESPRESSO input file:
```
&SYSTEM
  ibrav = 0, nat = 6, ntyp = 3
/
ATOMIC_SPECIES
Nd 144.24 Nd.upf
Dy 162.50 Dy.upf
Mg 24.30 Mg.upf
ATOMIC_POSITIONS angstrom
Nd 0.000 0.000 0.000
Dy 2.150 2.150 2.150
Mg 5.373 3.226 3.226
Mg 3.226 5.373 3.226
Mg 3.226 3.226 5.373
Mg 5.373 5.373 5.373
CELL_PARAMETERS angstrom
0.000 4.299 4.299
4.299 0.000 4.299
4.299 4.299 0.000
```

Results
Calculated total energy, eV/atom: -2.710
Formation energy from the elements, eV/atom: -0.09
Total moment, μB per cell: 0.00
Energy above the most stable polymorph in this dataset, eV per formula unit: 0.00
Density of states at the Fermi level, states/eV per atom: 1.014

=====

A plane-wave DFT calculation with PBE-GGA was carried out for Nd4DyMg2 after structural relaxation. Values from VASP.

Quantum ESPRESSO input file:
```
&SYSTEM
  ibrav = 0, nat = 7, ntyp = 3
/
ATOMIC_SPECIES
Nd 144.24 Nd.upf
Dy 162.50 Dy.upf
Mg 24.30 Mg.upf
ATOMIC_POSITIONS angstrom
Nd 0.000 0.000 3.509
Nd 0.000 0.000 6.937
Nd 0.000 0.000 19.996
Nd 0.000 0.000 23.425
Dy 0.000 0.000 13.467
Mg 0.000 0.000 10.210
Mg 0.000 0.000 16.724
CELL_PARAMETERS angstrom
2.822 1.629 8.978
-2.822 1.629 8.978
0.000 -3.258 8.978
```

Results
Calculated total energy, eV/atom: -3.581
Formation energy from the elements, eV/atom: 0.26
Total moment, μB per cell: 0.00
Density of states at the Fermi level, states/eV per atom: 1.368

=====

A plane-wave DFT calculation with PBE-GGA was carried out for Nd2Dy2Mg after structural relaxation. Values from VASP.

Quantum ESPRESSO input file:
```
&SYSTEM
  ibrav = 0, nat = 5, ntyp = 3
/
ATOMIC_SPECIES
Nd 144.24 Nd.upf
Dy 162.50 Dy.upf
Mg 24.30 Mg.upf
ATOMIC_POSITIONS angstrom
Nd 0.000 0.000 1.631
Nd 0.000 0.000 16.014
Dy 2.210 0.000 4.411
Dy 0.000 2.210 4.411
Mg 0.000 0.000 8.822
CELL_PARAMETERS angstrom
-2.210 2.210 8.822
2.210 -2.210 8.822
2.210 2.210 -8.822
```

Results
Calculated total energy, eV/atom: -3.715
Formation energy from the elements, eV/atom: 0.35
Total moment, μB per cell: 0.00
Energy above the most stable polymorph in this dataset, eV per formula unit: 1.87
Density of states at the Fermi level, states/eV per atom: 1.396

=====

A plane-wave DFT calculation with PBE-GGA was carried out for NdDyMg17 after structural relaxation. Values from VASP.

Quantum ESPRESSO input file:
```
&SYSTEM
  ibrav = 0, nat = 19, ntyp = 3
/
ATOMIC_SPECIES
Nd 144.24 Nd.upf
Dy 162.50 Dy.upf
Mg 24.30 Mg.upf
ATOMIC_POSITIONS angstrom
Nd 0.000 0.000 0.000
Dy 0.000 0.000 10.032
Mg -1.560 -2.674 5.027
Mg -3.096 -0.014 5.027
Mg -2.613 -1.509 7.806
Mg 0.000 0.000 3.533
Mg 0.000 -2.980 7.553
Mg -2.581 1.490 7.553
Mg 1.560 -2.674 5.027
Mg -1.536 2.689 5.027
Mg 0.000 0.000 6.558
Mg -2.478 -1.431 12.409
Mg 3.096 -0.014 5.027
Mg 1.536 2.689 5.027
Mg 2.613 -1.509 7.806
Mg 0.000 3.017 7.806
Mg 2.581 1.490 7.553
Mg 2.478 -1.431 12.409
Mg 0.000 2.862 12.409
CELL_PARAMETERS angstrom
5.123 2.958 5.078
-5.123 2.958 5.078
0.000 -5.916 5.078
```

Results
Calculated total energy, eV/atom: -1.954
Formation energy from the elements, eV/atom: -0.03
Total moment, μB per cell: 0.00
Density of states at the Fermi level, states/eV per atom: 0.441

=====

A plane-wave DFT calculation with PBE-GGA was carried out for Nd5Dy2Mg after structural relaxation. Values from VASP.

Quantum ESPRESSO input file:
```
&SYSTEM
  ibrav = 0, nat = 8, ntyp = 3
/
ATOMIC_SPECIES
Nd 144.24 Nd.upf
Dy 162.50 Dy.upf
Mg 24.30 Mg.upf
ATOMIC_POSITIONS angstrom
Nd 0.000 0.000 0.000
Nd 5.384 5.753 3.034
Nd 1.820 2.877 5.162
Nd 1.896 5.753 3.034
Nd 5.460 8.630 11.467
Dy 3.640 2.969 8.284
Dy 3.640 8.537 8.284
Mg 3.640 5.753 6.232
CELL_PARAMETERS angstrom
0.000 5.753 6.304
3.640 0.000 6.304
3.640 5.753 0.000
```

Results
Calculated total energy, eV/atom: -4.329
Formation energy from the elements, eV/atom: 0.00
Total moment, μB per cell: 0.00
Energy above the most stable polymorph in this dataset, eV per formula unit: 0.00
Density of states at the Fermi level, states/eV per atom: 1.234

=====

A plane-wave DFT calculation with PBE-GGA was carried out for Nd3DyMg8 after structural relaxation. Values from VASP.

Quantum ESPRESSO input file:
```
&SYSTEM
  ibrav = 0, nat = 12, ntyp = 3
/
ATOMIC_SPECIES
Nd 144.24 Nd.upf
Dy 162.50 Dy.upf
Mg 24.30 Mg.upf
ATOMIC_POSITIONS angstrom
Nd 0.000 0.000 0.000
Nd 0.000 0.000 3.737
Nd 0.000 0.000 18.632
Dy 0.000 0.000 14.918
Mg 0.000 -1.763 6.818
Mg -1.527 0.881 6.818
Mg -1.525 -0.880 11.828
Mg 0.000 0.000 9.323
Mg 1.527 0.881 6.818
Mg 1.525 -0.880 11.828
Mg 0.000 1.760 11.828
Mg 0.000 0.000 24.240
CELL_PARAMETERS angstrom
3.059 1.766 9.947
-3.059 1.766 9.947
0.000 -3.532 9.947
```

Results
Calculated total energy, eV/atom: -2.734
Formation energy from the elements, eV/atom: -0.10
Total moment, μB per cell: 0.00
Density of states at the Fermi level, states/eV per atom: 0.970

=====

A plane-wave DFT calculation with PBE-GGA was carried out for Nd2DyMg6 after structural relaxation. Values from VASP.

Quantum ESPRESSO input file:
```
&SYSTEM
  ibrav = 0, nat = 9, ntyp = 3
/
ATOMIC_SPECIES
Nd 144.24 Nd.upf
Dy 162.50 Dy.upf
Mg 24.30 Mg.upf
ATOMIC_POSITIONS angstrom
Nd 0.000 5.294 0.000
Nd 4.585 2.647 0.000
Dy 0.000 0.000 0.000
Mg -1.513 2.621 1.665
Mg -3.072 5.320 1.665
Mg 3.026 0.000 1.665
Mg 1.513 2.621 1.665
Mg 6.143 0.000 1.665
Mg 3.072 5.320 1.665
CELL_PARAMETERS angstrom
9.170 0.000 0.000
-4.585 7.941 0.000
0.000 0.000 3.331
```

Results
Calculated total energy, eV/atom: -2.725
Formation energy from the elements, eV/atom: -0.09
Total moment, μB per cell: 0.00
Density of states at the Fermi level, states/eV per atom: 0.628